1.
Here is a relaxed PaHgIr crystal from OQMD. Energies are from GGA-PBE.

Values from the calculation:
ΔE to the lowest computed polymorph in eV/atom: 0.213

abc: 4.6969 4.6969 4.6969
angles: 60.00 60.00 60.00
Closest atoms and distances in Å follow each position.
Fractional positions:
Pa (0.0000, 0.0000, 0.0000)  4 Hg 2.88
Hg (0.7500, 0.7500, 0.7500)  4 Pa 2.88, 4 Ir 2.88
Ir (0.5000, 0.5000, 0.5000)  4 Hg 2.88


2.
Here is a relaxed HgIr2Pb crystal from OQMD. Energies are from GGA-PBE.

abc: 4.7529 4.7529 4.7529
angles: 60.00 60.00 60.00
Closest atoms and distances in Å follow each position.
Fractional positions:
Hg (0.0000, 0.0000, 0.0000)  4 Pb 2.91, 4 Ir 2.91
Ir (0.2500, 0.2500, 0.2500)  4 Hg 2.91, 4 Ir 2.91
Ir (0.5000, 0.5000, 0.5000)  4 Pb 2.91, 4 Ir 2.91
Pb (0.7500, 0.7500, 0.7500)  4 Hg 2.91, 4 Ir 2.91


3.
Here is a relaxed HgIrPd2 crystal from OQMD. Energies are from GGA-PBE.

abc: 4.5331 4.5331 4.5331
angles: 60.00 60.00 60.00
Closest atoms and distances in Å follow each position.
Fractional positions:
Hg (0.0000, 0.0000, 0.0000)  4 Ir 2.78, 4 Pd 2.78
Ir (0.2500, 0.2500, 0.2500)  4 Hg 2.78, 4 Pd 2.78
Pd (0.5000, 0.5000, 0.5000)  4 Ir 2.78, 4 Pd 2.78
Pd (0.7500, 0.7500, 0.7500)  4 Hg 2.78, 4 Pd 2.78


4.
Here is a relaxed Pm4Hg5Ir2 crystal from OQMD. Energies are from GGA-PBE.

abc: 7.7605 3.7425 9.6732
angles: 90.00 94.83 90.00
Closest atoms and distances in Å follow each position.
Fractional positions:
Pm (0.1813, 0.0000, 0.3497)  2 Ir 2.83
Pm (0.2194, 0.0000, 0.9393)  4 Ir 2.97-3.01
Pm (0.7806, 0.0000, 0.0607)  4 Ir 2.97-3.01
Pm (0.8187, 0.0000, 0.6503)  2 Ir 2.83
Hg (0.1694, 0.5000, 0.6440)  1 Ir 2.95, 2 Hg 3.02-3.28
Hg (0.4570, 0.5000, 0.1699)  1 Ir 2.94, 2 Hg 3.18-3.28
Hg (0.5000, 0.5000, 0.5000)  4 Hg 3.02-3.18, 4 Pm 3.34
Hg (0.5430, 0.5000, 0.8301)  1 Ir 2.94, 2 Hg 3.18-3.28
Hg (0.8306, 0.5000, 0.3560)  1 Ir 2.95, 2 Hg 3.02-3.28
Ir (0.0769, 0.5000, 0.1396)  6 Pm 2.83-3.01, 1 Ir 2.86, 2 Hg 2.94-2.95
Ir (0.9231, 0.5000, 0.8604)  6 Pm 2.83-3.01, 1 Ir 2.86, 2 Hg 2.94-2.95


5.
Here is a relaxed Pm5Hg2Ir2 crystal from OQMD. Energies are from GGA-PBE.

abc: 8.9064 8.9064 7.9202
angles: 90.00 90.00 50.98
Closest atoms and distances in Å follow each position.
Fractional positions:
Pm (0.0000, 0.0000, 0.0000)  4 Ir 3.02-3.09
Pm (0.0493, 0.7092, 0.6721)  3 Ir 2.93-3.10, 3 Hg 3.24-3.27
Pm (0.2092, 0.5493, 0.1721)  3 Ir 2.93-3.10, 3 Hg 3.24-3.27
Pm (0.2908, 0.9507, 0.6721)  3 Ir 2.93-3.10, 3 Hg 3.24-3.27
Pm (0.4507, 0.7908, 0.1721)  3 Ir 2.93-3.10, 3 Hg 3.24-3.27
Pm (0.5000, 0.5000, 0.5000)  4 Ir 3.02-3.09
Pm (0.5493, 0.2092, 0.8279)  3 Ir 2.93-3.10, 3 Hg 3.24-3.27
Pm (0.7092, 0.0493, 0.3279)  3 Ir 2.93-3.10, 3 Hg 3.24-3.27
Pm (0.7908, 0.4507, 0.8279)  3 Ir 2.93-3.10, 3 Hg 3.24-3.27
Pm (0.9507, 0.2908, 0.3279)  3 Ir 2.93-3.10, 3 Hg 3.24-3.27
Hg (0.2137, 0.2137, 0.0000)  7 Pm 3.24-3.44
Hg (0.2863, 0.2863, 0.5000)  7 Pm 3.24-3.44
Hg (0.7137, 0.7137, 0.5000)  7 Pm 3.24-3.44
Hg (0.7863, 0.7863, 0.0000)  7 Pm 3.24-3.44
Ir (0.1293, 0.8707, 0.3695)  1 Ir 2.86, 8 Pm 2.93-3.10
Ir (0.3707, 0.6293, 0.8695)  1 Ir 2.86, 8 Pm 2.93-3.10
Ir (0.6293, 0.3707, 0.1305)  1 Ir 2.86, 8 Pm 2.93-3.10
Ir (0.8707, 0.1293, 0.6305)  1 Ir 2.86, 8 Pm 2.93-3.10


6.
Here is a relaxed PrHgIr crystal from OQMD. Energies are from GGA-PBE.

abc: 4.7961 4.7961 4.7961
angles: 60.00 60.00 60.00
Closest atoms and distances in Å follow each position.
Fractional positions:
Pr (0.0000, 0.0000, 0.0000)  4 Ir 2.94
Hg (0.5000, 0.5000, 0.5000)  4 Ir 2.94
Ir (0.2500, 0.2500, 0.2500)  4 Hg 2.94, 4 Pr 2.94


VASP energy readings, ordered: -5.77, -4.69, -4.58, -4.00, -5.26, -4.96 eV/atom
M_tot readings, ordered: 1.71, 0.22, 0.92, 0.01, 0.01, 0.00 μB per cell